Record 1
# GaB3S PBEsol relaxed
data_GaB3S
_chemical_formula_sum 'Ga1 B3 S1'
_space_group_name_H-M_alt 'P m -3 m'
_space_group_IT_number 221
_space_group_name_Hall '-P 4 2 3'
_cell_length_a 3.8273
_cell_length_b 3.8273
_cell_length_c 3.8273
_cell_angle_alpha 90.00
_cell_angle_beta 90.00
_cell_angle_gamma 90.00
loop_
_atom_site_label
_atom_site_type_symbol
_atom_site_fract_x
_atom_site_fract_y
_atom_site_fract_z
Ga1 Ga 0.0000 0.0000 0.0000
B1 B 0.0000 0.5000 0.5000
S1 S 0.5000 0.5000 0.5000
# VASP energy = -4.224 eV per atom
# raw formation energy = 1.53 eV/atom

---

Record 2
# LiTiTl2B PBEsol relaxed
data_LiTiTl2B
_chemical_formula_sum 'Li1 Ti1 Tl2 B1'
_space_group_name_H-M_alt 'P 4/m m m'
_space_group_IT_number 123
_space_group_name_Hall '-P 4 2'
_cell_length_a 4.7840
_cell_length_b 4.7840
_cell_length_c 4.1147
_cell_angle_alpha 90.00
_cell_angle_beta 90.00
_cell_angle_gamma 90.00
loop_
_atom_site_label
_atom_site_type_symbol
_atom_site_fract_x
_atom_site_fract_y
_atom_site_fract_z
Li1 Li 0.0000 0.0000 0.0000
Ti1 Ti 0.5000 0.5000 0.0000
Tl1 Tl 0.0000 0.5000 0.5000
B1 B 0.0000 0.0000 0.5000
# formation energy from the elements = 0.780 eV per atom
# VASP energy = -3.733 eV per atom

---

Record 3
# AgPtW2 PBEsol relaxed
data_AgPtW2
_chemical_formula_sum 'Ag3 Pt3 W6'
_space_group_name_H-M_alt 'R -3 m'
_space_group_IT_number 166
_space_group_name_Hall '-R 3 2"'
_cell_length_a 2.7693
_cell_length_b 2.7693
_cell_length_c 28.1566
_cell_angle_alpha 90.00
_cell_angle_beta 90.00
_cell_angle_gamma 120.00
loop_
_atom_site_label
_atom_site_type_symbol
_atom_site_fract_x
_atom_site_fract_y
_atom_site_fract_z
Ag1 Ag 0.0000 0.0000 0.0000
Pt1 Pt 0.0000 0.0000 0.5000
W1 W 0.0000 0.0000 0.2471
# excess energy over the best structure of this formula in the dataset = 0.066 eV/atom
# formation energy from the elements = 0.265 eV per atom
# VASP energy = -9.208 eV per atom

---

Record 4
# Sr3LaNb3O12 PBEsol relaxed
data_Sr3LaNb3O12
_chemical_formula_sum 'Sr9 La3 Nb9 O36'
_space_group_name_H-M_alt 'R 3'
_space_group_IT_number 146
_space_group_name_Hall 'R 3'
_cell_length_a 5.6741
_cell_length_b 5.6741
_cell_length_c 27.2201
_cell_angle_alpha 90.00
_cell_angle_beta 90.00
_cell_angle_gamma 120.00
loop_
_atom_site_label
_atom_site_type_symbol
_atom_site_fract_x
_atom_site_fract_y
_atom_site_fract_z
Sr1 Sr 0.0000 0.0000 0.0000
Sr2 Sr 0.0000 0.0000 0.1441
Sr3 Sr 0.0000 0.0000 0.7176
La1 La 0.0000 0.0000 0.5732
Nb1 Nb 0.0000 0.0000 0.2830
Nb2 Nb 0.0000 0.0000 0.4345
Nb3 Nb 0.0000 0.0000 0.8578
O1 O 0.0013 0.4306 0.7378
O2 O 0.0057 0.5591 0.1544
O3 O 0.0983 0.3351 0.8999
O4 O 0.1019 0.7600 0.3119
# VASP energy = -8.553 eV per atom
# raw formation energy = -2.96 eV/atom

---

Record 5
# SmGdCo17 PBEsol relaxed
data_SmGdCo17
_chemical_formula_sum 'Sm3 Gd3 Co51'
_space_group_name_H-M_alt 'R 3 m'
_space_group_IT_number 160
_space_group_name_Hall 'R 3 -2"'
_cell_length_a 8.1914
_cell_length_b 8.1914
_cell_length_c 11.9254
_cell_angle_alpha 90.00
_cell_angle_beta 90.00
_cell_angle_gamma 120.00
loop_
_atom_site_label
_atom_site_type_symbol
_atom_site_fract_x
_atom_site_fract_y
_atom_site_fract_z
Sm1 Sm 0.0000 0.0000 0.0000
Gd1 Gd 0.0000 0.0000 0.6893
Co1 Co 0.0000 0.0000 0.2487
Co2 Co 0.0000 0.0000 0.4416
Co3 Co 0.0003 0.2875 0.3449
Co4 Co 0.0002 0.5001 0.8449
Co5 Co 0.0049 0.5025 0.1920
Co6 Co 0.1684 0.3369 0.8310
# formation energy from the elements = -0.062 eV per atom
# VASP energy = -8.014 eV per atom

---

Record 6
# MoOs3 PBEsol relaxed
data_MoOs3
_chemical_formula_sum 'Mo1 Os3'
_space_group_name_H-M_alt 'P m m 2'
_space_group_IT_number 25
_cell_length_a 2.7518
_cell_length_b 4.3605
_cell_length_c 4.7477
_cell_angle_alpha 90.00
_cell_angle_beta 90.00
_cell_angle_gamma 90.00
loop_
_space_group_symop_operation_xyz
'x,y,z'
'-x,-y,z'
'-x,y,z'
'x,-y,z'
loop_
_atom_site_label
_atom_site_type_symbol
_atom_site_fract_x
_atom_site_fract_y
_atom_site_fract_z
Mo1 Mo 0.0000 0.0000 0.0000
Os1 Os 0.0000 0.5000 0.3363
Os2 Os 0.5000 0.0000 0.4963
Os3 Os 0.5000 0.5000 0.8331
# formation energy from the elements = -0.031 eV per atom
# VASP energy = -12.135 eV per atom

---

Record 7
# Zr3NiI PBEsol relaxed
data_Zr3NiI
_chemical_formula_sum 'Zr3 Ni1 I1'
_space_group_name_H-M_alt 'P m -3 m'
_space_group_IT_number 221
_space_group_name_Hall '-P 4 2 3'
_cell_length_a 4.8683
_cell_length_b 4.8683
_cell_length_c 4.8683
_cell_angle_alpha 90.00
_cell_angle_beta 90.00
_cell_angle_gamma 90.00
loop_
_atom_site_label
_atom_site_type_symbol
_atom_site_fract_x
_atom_site_fract_y
_atom_site_fract_z
Zr1 Zr 0.0000 0.0000 0.5000
Ni1 Ni 0.0000 0.0000 0.0000
I1 I 0.5000 0.5000 0.5000
# excess energy over the best structure of this formula in the dataset = 0.000 eV/atom
# VASP energy = -6.813 eV per atom
# raw formation energy = 0.23 eV/atom

---

Record 8
# MoPdF2 PBEsol relaxed
data_MoPdF2
_chemical_formula_sum 'Mo3 Pd3 F6'
_space_group_name_H-M_alt 'R -3 m'
_space_group_IT_number 166
_space_group_name_Hall '-R 3 2"'
_cell_length_a 2.7124
_cell_length_b 2.7124
_cell_length_c 24.2149
_cell_angle_alpha 90.00
_cell_angle_beta 90.00
_cell_angle_gamma 120.00
loop_
_atom_site_label
_atom_site_type_symbol
_atom_site_fract_x
_atom_site_fract_y
_atom_site_fract_z
Mo1 Mo 0.0000 0.0000 0.0000
Pd1 Pd 0.0000 0.0000 0.5000
F1 F 0.0000 0.0000 0.0799
# VASP energy = -6.186 eV per atom
# raw formation energy = -0.79 eV/atom

---

> Among the records above, which one has the lowest VASP energy?

MoOs3